The following is a PBE-GGA calculation of Mn2FeSi after structural relaxation, from the Alexandria database.

Values from the calculation:
Uncorrected formation energy ... 1.4 eV/f.u.
E ... -7.69 eV per atom

```
Mn2FeSi
1.0
-3.199 3.199 2.471
3.199 -3.199 2.471
3.199 3.199 -2.471
Mn Fe Si
4 2 2
Cartesian
4.799 1.536 -0.618 Mn
1.536 1.600 0.618 Mn
-1.600 1.663 1.853 Mn
1.663 1.600 3.089 Mn
0.000 0.000 0.000 Fe
0.000 3.199 1.235 Fe
3.199 0.000 1.235 Si
0.000 0.000 2.471 Si
```

=====

The following is a PBE-GGA calculation of YScAs2 after structural relaxation, from the Alexandria database.

Values from the calculation:
DFT formation energy ... -1066.4 meV/atom
E ... -6.59 eV per atom
E above lowest polymorph ... 1.54 eV per formula unit

```
YScAs2
1.0
2.106 -2.823 0.000
2.106 2.823 0.000
0.000 0.000 7.376
Y Sc As
1 1 2
Cartesian
0.000 0.000 0.000 Y
0.000 0.000 3.688 Sc
2.106 0.000 1.938 As
2.106 0.000 5.438 As
```

=====

The following is a PBE-GGA calculation of V3Ru2W after structural relaxation, from the Alexandria database.

Values from the calculation:
DFT formation energy ... -227.1 meV/atom
E ... -10.04 eV per atom
E above lowest polymorph ... 0.05 eV per formula unit

```
V3Ru2W
1.0
3.032 0.000 0.000
0.000 3.032 0.000
0.000 0.000 9.138
V Ru W
3 2 1
Cartesian
0.000 0.000 0.000 V
0.000 0.000 3.055 V
0.000 0.000 6.082 V
1.516 1.516 1.496 Ru
1.516 1.516 7.642 Ru
1.516 1.516 4.569 W
```

=====

The following is a PBE-GGA calculation of HoTcMoRu after structural relaxation, from the Alexandria database.

Values from the calculation:
DFT formation energy ... -22.7 meV/atom
E ... -8.79 eV per atom

```
HoTcMoRu
1.0
0.000 3.233 3.233
3.233 0.000 3.233
3.233 3.233 0.000
Ho Tc Mo Ru
1 1 1 1
Cartesian
0.000 0.000 0.000 Ho
1.616 1.616 1.616 Tc
3.233 3.233 3.233 Mo
4.849 4.849 4.849 Ru
```

=====

The following is a PBE-GGA calculation of Fe3PRu after structural relaxation, from the Alexandria database.

Values from the calculation:
DFT formation energy ... 1543.6 meV/atom
E ... -6.47 eV per atom
E above lowest polymorph ... 3.97 eV per formula unit

```
Fe3PRu
1.0
4.548 0.000 0.000
0.000 4.548 0.000
0.000 0.000 4.548
Fe P Ru
3 1 1
Cartesian
0.000 0.000 2.274 Fe
0.000 2.274 0.000 Fe
2.274 0.000 0.000 Fe
2.274 2.274 2.274 P
0.000 0.000 0.000 Ru
```

=====

The following is a PBE-GGA calculation of SrZr2Au after structural relaxation, from the Alexandria database.

Values from the calculation:
DFT formation energy ... 162.3 meV/atom
E ... -5.35 eV per atom
E above lowest polymorph ... 1.41 eV per formula unit

```
SrZr2Au
1.0
3.041 -5.921 0.000
3.041 5.921 0.000
-1.672 0.000 2.797
Sr Zr Au
1 2 1
Cartesian
0.000 0.000 0.000 Sr
0.684 2.960 1.398 Zr
0.684 -2.960 1.398 Zr
3.041 0.000 0.000 Au
```

=====

The following is a PBE-GGA calculation of Mg5CdPb6 after structural relaxation, from the Alexandria database.

Values from the calculation:
DFT formation energy ... -31.5 meV/atom
E ... -2.63 eV per atom

```
Mg5CdPb6
1.0
5.477 0.000 0.000
0.000 7.077 0.000
-2.357 0.000 8.242
Mg Cd Pb
5 1 6
Cartesian
0.000 0.000 0.000 Mg
-0.104 0.000 5.548 Mg
-0.103 3.538 5.540 Mg
3.224 0.000 2.694 Mg
3.223 3.538 2.701 Mg
0.000 3.538 0.000 Cd
0.442 1.765 2.803 Pb
0.442 5.312 2.803 Pb
2.738 1.752 0.000 Pb
2.738 5.325 0.000 Pb
2.678 1.765 5.438 Pb
2.678 5.312 5.438 Pb
```

=====

The following is a PBE-GGA calculation of NbCoHg3 after structural relaxation, from the Alexandria database.

Values from the calculation:
DFT formation energy ... 1076.7 meV/atom
E ... -2.54 eV per atom

```
NbCoHg3
1.0
4.817 0.000 0.000
0.000 4.817 0.000
0.000 0.000 4.817
Nb Co Hg
1 1 3
Cartesian
0.000 0.000 0.000 Nb
2.409 2.409 2.409 Co
0.000 2.409 2.409 Hg
2.409 0.000 2.409 Hg
2.409 2.409 0.000 Hg
```

=====

The following is a PBE-GGA calculation of Tm3Mg2In3 after structural relaxation, from the Alexandria database.

Values from the calculation:
DFT formation energy ... -291.7 meV/atom
E ... -3.39 eV per atom

```
Tm3Mg2In3
1.0
2.350 -5.820 0.000
2.350 5.820 0.000
0.000 0.000 15.104
Tm Mg In
6 4 6
Cartesian
2.350 5.045 9.340 Tm
2.350 5.045 13.315 Tm
2.350 1.884 11.328 Tm
2.350 -1.884 3.776 Tm
2.350 -5.045 1.788 Tm
2.350 -5.045 5.764 Tm
2.350 3.203 1.351 Mg
2.350 3.203 6.201 Mg
2.350 -3.203 8.903 Mg
2.350 -3.203 13.753 Mg
2.350 1.557 3.776 In
2.350 1.172 8.340 In
2.350 1.172 14.316 In
2.350 -1.172 0.788 In
2.350 -1.172 6.764 In
2.350 -1.557 11.328 In
```

=====

The following is a PBE-GGA calculation of K2CuRu after structural relaxation, from the Alexandria database.

Values from the calculation:
DFT formation energy ... 697.5 meV/atom
E ... -3.19 eV per atom
E above lowest polymorph ... 0.00 eV per formula unit

```
K2CuRu
1.0
3.403 0.000 0.000
0.000 3.418 0.000
0.000 0.000 10.007
K Cu Ru
2 1 1
Cartesian
0.000 0.000 0.000 K
1.701 1.709 4.399 K
0.000 0.000 6.816 Cu
1.701 1.709 7.509 Ru
```

=====

The following is a PBE-GGA calculation of Cr3PbBr after structural relaxation, from the Alexandria database.

Values from the calculation:
Uncorrected formation energy ... 5.9 eV/f.u.
E ... -5.68 eV per atom
E above lowest polymorph ... 0.00 eV per formula unit

```
Cr3PbBr
1.0
5.321 0.000 0.000
0.000 5.321 0.000
0.000 0.000 5.321
Cr Pb Br
3 1 1
Cartesian
0.000 0.000 2.660 Cr
0.000 2.660 0.000 Cr
2.660 0.000 0.000 Cr
0.000 0.000 0.000 Pb
2.660 2.660 2.660 Br
```

=====

The following is a PBE-GGA calculation of CaCd5Hg8 after structural relaxation, from the Alexandria database.

Values from the calculation:
DFT formation energy ... -74.4 meV/atom
E ... -0.72 eV per atom

```
CaCd5Hg8
1.0
-4.482 4.482 4.464
4.482 -4.482 4.464
4.482 4.482 -4.464
Ca Cd Hg
1 5 8
Cartesian
0.000 0.000 0.000 Ca
3.209 2.093 -1.258 Cd
4.482 0.000 2.232 Cd
2.389 -1.273 5.722 Cd
1.273 2.389 3.207 Cd
2.093 5.755 1.258 Cd
5.903 0.791 -0.322 Hg
1.486 -0.629 2.828 Hg
0.791 3.061 0.322 Hg
2.997 5.111 -1.636 Hg
3.853 2.997 1.636 Hg
3.692 1.421 4.787 Hg
0.629 1.486 6.100 Hg
-1.421 3.692 4.142 Hg
```

=====

The following is a PBE-GGA calculation of NdRh3Pb5 after structural relaxation, from the Alexandria database.

Values from the calculation:
DFT formation energy ... -144.0 meV/atom
E ... -5.18 eV per atom

```
NdRh3Pb5
1.0
5.926 -4.735 0.000
5.926 4.735 0.000
-5.117 0.000 8.811
Nd Rh Pb
2 6 10
Cartesian
-0.436 0.000 2.637 Nd
7.172 0.000 6.174 Nd
0.000 0.000 0.000 Rh
-2.558 0.000 4.405 Rh
-0.587 0.000 7.267 Rh
2.390 0.000 3.090 Rh
4.346 0.000 5.720 Rh
7.322 0.000 1.544 Rh
2.228 2.638 3.042 Pb
2.694 0.000 0.391 Pb
5.926 1.905 0.000 Pb
4.508 2.638 5.769 Pb
1.620 0.000 5.711 Pb
5.116 0.000 3.099 Pb
2.228 -2.638 3.042 Pb
5.926 -1.905 0.000 Pb
4.042 0.000 8.420 Pb
4.508 -2.638 5.769 Pb
```

=====

The following is a PBE-GGA calculation of GaNiHgGe2 after structural relaxation, from the Alexandria database.

Values from the calculation:
DFT formation energy ... 972.3 meV/atom
E ... -2.70 eV per atom

```
GaNiHgGe2
1.0
5.141 0.000 0.000
0.000 5.141 0.000
0.000 0.000 4.885
Ga Ni Hg Ge
1 1 1 2
Cartesian
0.000 0.000 0.000 Ga
2.571 2.571 0.000 Ni
2.571 2.571 2.442 Hg
0.000 2.571 2.442 Ge
2.571 0.000 2.442 Ge
```

=====

The following is a PBE-GGA calculation of CrTc2W after structural relaxation, from the Alexandria database.

Values from the calculation:
DFT formation energy ... 129.9 meV/atom
E ... -10.70 eV per atom

```
CrTc2W
1.0
3.055 0.000 0.000
0.000 4.317 0.000
0.000 0.000 4.364
Cr Tc W
1 2 1
Cartesian
0.000 0.000 0.000 Cr
0.000 2.159 2.182 Tc
1.527 2.159 0.000 Tc
1.527 0.000 2.182 W
```

=====

The following is a PBE-GGA calculation of Pm2Pr3Ge3 after structural relaxation, from the Alexandria database.

Values from the calculation:
DFT formation energy ... -503.0 meV/atom
E ... -5.21 eV per atom

```
Pm2Pr3Ge3
1.0
-2.055 2.538 10.625
2.055 -2.538 10.625
2.055 2.538 -10.625
Pm Pr Ge
2 3 3
Cartesian
0.000 0.000 4.893 Pm
0.000 0.000 16.357 Pm
0.000 0.000 0.000 Pr
2.055 0.000 8.246 Pr
0.000 2.538 2.379 Pr
2.055 0.000 2.727 Ge
0.000 0.000 10.625 Ge
0.000 2.538 7.898 Ge
```

=====

The following is a PBE-GGA calculation of Tb4Pr3Er after structural relaxation, from the Alexandria database.

Values from the calculation:
DFT formation energy ... 124.7 meV/atom
E ... -4.55 eV per atom
E above lowest polymorph ... 0.79 eV per formula unit

```
Tb4Pr3Er
1.0
-1.752 5.887 6.551
1.752 -5.887 6.551
1.752 5.887 -6.551
Tb Pr Er
4 3 1
Cartesian
1.752 -3.000 4.791 Tb
0.000 2.887 1.759 Tb
1.752 3.000 4.791 Tb
0.000 8.888 1.759 Tb
1.752 0.000 3.176 Pr
0.000 0.000 6.551 Pr
0.000 5.887 3.374 Pr
0.000 0.000 0.000 Er
```

=====

The following is a PBE-GGA calculation of ZrBSe after structural relaxation, from the Alexandria database.

Values from the calculation:
Uncorrected formation energy ... -2.7 eV/f.u.
E ... -7.14 eV per atom

```
ZrBSe
1.0
3.507 0.000 0.000
0.000 3.321 0.000
-0.211 0.000 8.965
Zr B Se
2 2 2
Cartesian
-0.001 0.830 1.409 Zr
3.297 2.490 7.556 Zr
1.542 0.830 8.675 B
1.755 2.490 0.291 B
1.545 0.830 6.125 Se
1.752 2.490 2.840 Se
```

=====

The following is a PBE-GGA calculation of Li2MgRu after structural relaxation, from the Alexandria database.

Values from the calculation:
DFT formation energy ... 120.3 meV/atom
E ... -3.55 eV per atom

```
Li2MgRu
1.0
2.618 0.000 0.000
0.000 4.314 0.000
0.000 0.000 5.594
Li Mg Ru
2 1 1
Cartesian
0.000 0.000 0.000 Li
1.309 2.157 1.408 Li
0.000 0.000 3.036 Mg
1.309 2.157 4.230 Ru
```

=====

The following is a PBE-GGA calculation of Er2Fe4Co5 after structural relaxation, from the Alexandria database.

Values from the calculation:
DFT formation energy ... -31.5 meV/atom
E ... -7.17 eV per atom

```
Er2Fe4Co5
1.0
0.000 4.360 7.380
2.529 0.000 7.380
2.529 4.360 0.000
Er Fe Co
2 4 5
Cartesian
2.529 4.360 1.993 Er
2.529 4.360 12.766 Er
2.529 2.949 5.473 Fe
2.529 2.949 9.286 Fe
2.529 5.772 5.473 Fe
2.529 5.772 9.286 Fe
1.265 2.180 0.000 Co
1.265 2.180 3.690 Co
1.265 2.180 7.380 Co
2.529 4.360 7.380 Co
3.794 6.540 11.069 Co
```

=====

The following is a PBE-GGA calculation of Cd2InHg4Pb2 after structural relaxation, from the Alexandria database.

Values from the calculation:
DFT formation energy ... 39.0 meV/atom
E ... -1.43 eV per atom

```
Cd2InHg4Pb2
1.0
7.228 -1.989 0.000
7.228 1.989 0.000
-2.018 0.000 8.370
Cd In Hg Pb
2 1 4 2
Cartesian
1.467 0.000 3.845 Cd
10.973 0.000 4.524 Cd
6.220 0.000 4.185 In
-1.358 0.000 6.702 Hg
3.926 0.000 2.085 Hg
8.513 0.000 6.285 Hg
13.797 0.000 1.668 Hg
3.393 0.000 7.691 Pb
9.046 0.000 0.679 Pb
```

=====

The following is a PBE-GGA calculation of Cs2CaNp2S6 after structural relaxation, from the Alexandria database.

Values from the calculation:
Uncorrected formation energy ... -16.6 eV/f.u.
E ... -6.45 eV per atom

```
Cs2CaNp2S6
1.0
3.508 -6.117 0.000
3.508 6.117 0.000
-2.214 0.000 8.207
Cs Ca Np S
2 1 2 6
Cartesian
3.508 4.134 0.000 Cs
3.508 -4.134 0.000 Cs
-1.107 0.000 4.103 Ca
2.400 2.028 4.103 Np
2.400 -2.028 4.103 Np
0.118 2.166 5.539 S
1.355 0.000 2.663 S
0.118 -2.166 5.539 S
4.682 2.166 2.668 S
3.446 0.000 5.544 S
4.682 -2.166 2.668 S
```